[1]
Density functional theory data (GGA-PBE) for a relaxed structure of La2TmCo2B2N3.

Cell and atoms, written as POSCAR:
```
La2TmCo2B2N3
1.0
1.7980 5.6748 8.1569
-2.5817 3.1532 9.2392
1.7599 -6.3435 -7.6572
La N Tm B Co
2 3 1 2 2
Direct
0.3719 0.3719 0.0000
0.6281 0.6281 0.0000
0.8802 0.8802 0.0000
0.5000 0.5000 0.0000
0.1198 0.1198 0.0000
0.0000 0.0000 0.0000
0.8035 0.8035 0.0000
0.1965 0.1965 0.0000
0.2500 0.7500 0.5000
0.7500 0.2500 0.5000
```

Calculated values
For the total energy, the calculation gives -0.570 Ry/atom. The magnetic moment comes out at 0.01 μB per cell.

---

[2]
Density functional theory data (GGA-PBE) for a relaxed structure of AlHg2O4.

Cell and atoms, written as POSCAR:
```
AlHg2O4
1.0
-2.4024 3.4577 -4.8344
4.4940 2.5132 3.8191
1.5313 -4.6737 -4.1122
O Hg Al
8 4 2
Direct
0.0940 0.7294 0.3646
0.6354 0.2706 0.9060
0.1148 0.2294 0.8854
0.1146 0.2294 0.3440
0.6352 0.2706 0.3646
0.6354 0.7294 0.3648
0.6560 0.7706 0.8854
0.1146 0.7706 0.8852
0.3750 0.7500 0.6250
0.3750 0.2500 0.6250
0.3750 0.7500 0.1250
0.8750 0.2500 0.6250
0.7500 0.5000 0.2500
0.0000 0.0000 0.0000
```

Calculated values
For the total energy, the calculation gives -0.322 Ry/atom.

---

[3]
Density functional theory data (GGA-PBE) for a relaxed structure of LiHfB4.

Cell and atoms, written as POSCAR:
```
LiHfB4
1.0
1.4596 -4.2925 1.0512
3.5335 1.1751 2.7919
-4.6440 0.1839 -0.2468
B Hf Li
4 1 1
Direct
0.5828 0.2587 0.3242
0.4172 0.7413 0.6758
0.9345 0.2587 0.6758
0.0655 0.7413 0.3242
0.0000 0.0000 0.0000
0.5000 0.5000 0.0000
```

Calculated values
For the total energy, the calculation gives -0.508 Ry/atom. The magnetic moment comes out at 0.00 μB per cell.

---

[4]
Density functional theory data (GGA-PBE) for a relaxed structure of Zr2Sn2O5.

Cell and atoms, written as POSCAR:
```
Zr2Sn2O5
1.0
8.2603 0.0000 0.0000
0.0000 4.1514 0.0000
0.0000 0.0000 4.1514
Sn Zr O
2 2 5
Direct
0.0000 0.0000 0.0000
0.5000 0.0000 0.0000
0.7481 0.5000 0.5000
0.2519 0.5000 0.5000
0.5000 0.5000 0.5000
0.7401 0.0000 0.5000
0.7401 0.5000 0.0000
0.2599 0.5000 0.0000
0.2599 0.0000 0.5000
```

Calculated values
For the total energy, the calculation gives -0.555 Ry/atom. The magnetic moment comes out at 0.00 μB per cell.